1.
Below is CeTaTiO6 at its PBEsol-relaxed geometry, with properties calculated at the SCAN level.

Results
**Crystal system**: orthorhombic
**Space group**: Pna2_1, No. 33
**Total DFT energy (no corrections)**: -1.59593 Ry/atom
**Total moment**: 4.07 μB/cell
**Energy relative to the elements, uncorrected**: -3429 meV per atom

Cell and atoms, written as POSCAR:
```
CeTaTiO6
1.0
-2.927 -0.366 -4.388
6.205 -1.090 -4.048
-0.918 -10.867 1.519
Ce Ta Ti O
4 4 4 24
Direct
0.455 0.749 0.956
0.045 0.749 0.456
0.545 0.249 0.044
0.955 0.249 0.544
0.456 0.506 0.645
0.544 0.006 0.355
0.956 0.006 0.855
0.044 0.506 0.145
0.040 0.995 0.140
0.960 0.495 0.860
0.540 0.495 0.360
0.460 0.995 0.640
0.163 0.752 0.119
0.337 0.752 0.619
0.837 0.252 0.881
0.663 0.252 0.381
0.052 0.749 0.857
0.448 0.749 0.357
0.948 0.249 0.143
0.552 0.249 0.643
0.236 0.040 0.973
0.265 0.460 0.476
0.764 0.540 0.027
0.735 0.960 0.524
0.765 0.960 0.024
0.736 0.540 0.527
0.235 0.460 0.976
0.264 0.040 0.473
0.623 0.561 0.793
0.880 0.939 0.288
0.377 0.061 0.207
0.120 0.439 0.712
0.380 0.439 0.212
0.123 0.061 0.707
0.620 0.939 0.788
0.877 0.561 0.293
```

2.
Below is CeTe2O6 at its PBEsol-relaxed geometry, with properties calculated at the SCAN level.

Results
**Crystal system**: monoclinic
**Space group**: P2_1/c, No. 14
**Total DFT energy (no corrections)**: -1.42364 Ry/atom
**Total moment**: 0.00 μB/cell
**Energy relative to the elements, uncorrected**: -1986 meV per atom

Cell and atoms, written as POSCAR:
```
CeTe2O6
1.0
6.970 -0.003 0.000
-2.182 6.814 0.000
0.000 0.000 11.121
Ce Te O
4 8 24
Direct
0.240 0.498 0.409
0.260 0.002 0.909
0.760 0.502 0.591
0.740 0.998 0.091
0.263 0.524 0.079
0.237 0.976 0.579
0.737 0.476 0.921
0.763 0.024 0.421
0.254 0.053 0.228
0.246 0.447 0.728
0.746 0.947 0.772
0.754 0.553 0.272
0.176 0.623 0.221
0.324 0.877 0.721
0.824 0.377 0.779
0.676 0.123 0.279
0.044 0.170 0.405
0.456 0.330 0.905
0.956 0.830 0.595
0.544 0.670 0.095
0.323 0.808 0.470
0.177 0.692 0.970
0.677 0.192 0.530
0.823 0.308 0.030
0.860 0.831 0.252
0.640 0.669 0.752
0.140 0.169 0.748
0.360 0.331 0.248
0.586 0.585 0.401
0.914 0.915 0.901
0.414 0.415 0.599
0.086 0.085 0.099
0.925 0.528 0.402
0.575 0.972 0.902
0.075 0.472 0.598
0.425 0.028 0.098
```

3.
Below is CeTi2O6 at its PBEsol-relaxed geometry, with properties calculated at the SCAN level.

Results
**Crystal system**: monoclinic
**Space group**: C2/m, No. 12
**Total DFT energy (no corrections)**: -1.18611 Ry/atom
**Total moment**: 0.00 μB/cell
**Energy relative to the elements, uncorrected**: -3470 meV per atom

Cell and atoms, written as POSCAR:
```
CeTi2O6
1.0
-3.602 1.000 0.298
-1.569 -0.122 5.040
-0.092 6.021 2.275
O Ce Ti
6 1 2
Direct
0.275 0.850 0.600
0.725 0.150 0.400
0.650 0.798 0.902
0.025 0.644 0.307
0.975 0.356 0.693
0.350 0.202 0.098
0.000 0.000 0.000
0.822 0.744 0.611
0.178 0.256 0.389
```

4.
Below is CeTiO3 at its PBEsol-relaxed geometry, with properties calculated at the SCAN level.

Results
**Crystal system**: cubic
**Space group**: Pm-3m, No. 221
**Total DFT energy (no corrections)**: -1.41617 Ry/atom
**Total moment**: 1.19 μB/cell
**Energy relative to the elements, uncorrected**: -3410 meV per atom

Cell and atoms, written as POSCAR:
```
CeTiO3
1.0
3.887 0.000 0.000
0.000 3.887 0.000
0.000 0.000 3.887
O Ce Ti
3 1 1
Direct
0.500 0.000 0.000
0.000 0.500 0.000
0.000 0.000 0.500
0.500 0.500 0.500
0.000 0.000 0.000
```

5.
Below is CeTlW2O8 at its PBEsol-relaxed geometry, with properties calculated at the SCAN level.

Results
**Crystal system**: monoclinic
**Space group**: C2/c, No. 15
**Total DFT energy (no corrections)**: -2.05858 Ry/atom
**Total moment**: 1.98 μB/cell
**Energy relative to the elements, uncorrected**: -2496 meV per atom

Cell and atoms, written as POSCAR:
```
CeTlW2O8
1.0
7.390 0.022 0.029
3.471 6.776 -0.033
3.471 -1.711 6.556
Tl Ce W O
2 2 4 16
Direct
0.250 0.216 0.784
0.750 0.784 0.216
0.250 0.772 0.228
0.750 0.228 0.772
0.220 0.307 0.297
0.780 0.693 0.703
0.280 0.703 0.693
0.720 0.297 0.307
0.448 0.245 0.369
0.552 0.755 0.631
0.052 0.631 0.755
0.948 0.369 0.245
0.134 0.932 0.615
0.866 0.068 0.385
0.366 0.385 0.068
0.634 0.615 0.932
0.025 0.630 0.417
0.975 0.370 0.583
0.475 0.583 0.370
0.525 0.417 0.630
0.319 0.040 0.213
0.681 0.960 0.787
0.181 0.787 0.960
0.819 0.213 0.040
```

6.
Below is CeTmO3 at its PBEsol-relaxed geometry, with properties calculated at the SCAN level.

Results
**Crystal system**: orthorhombic
**Space group**: Pnma, No. 62
**Total DFT energy (no corrections)**: -1.97155 Ry/atom
**Total moment**: 4.00 μB/cell
**Energy relative to the elements, uncorrected**: -3806 meV per atom

Cell and atoms, written as POSCAR:
```
CeTmO3
1.0
5.729 0.000 0.000
0.000 5.956 0.000
0.000 0.000 8.256
Ce Tm O
4 4 12
Direct
0.017 0.444 0.250
0.983 0.556 0.750
0.517 0.056 0.750
0.483 0.944 0.250
0.000 0.000 0.000
0.500 0.500 0.000
0.000 0.000 0.500
0.500 0.500 0.500
0.312 0.191 0.069
0.688 0.809 0.931
0.812 0.309 0.931
0.688 0.809 0.569
0.188 0.691 0.069
0.312 0.191 0.431
0.188 0.691 0.431
0.812 0.309 0.569
0.634 0.560 0.250
0.366 0.440 0.750
0.134 0.940 0.750
0.866 0.060 0.250
```

7.
Below is CeVO4 at its PBEsol-relaxed geometry, with properties calculated at the SCAN level.

Results
**Crystal system**: tetragonal
**Space group**: I4_1/amd, No. 141
**Total DFT energy (no corrections)**: -1.30395 Ry/atom
**Total moment**: 2.01 μB/cell
**Energy relative to the elements, uncorrected**: -3245 meV per atom

Cell and atoms, written as POSCAR:
```
CeVO4
1.0
-5.367 -2.767 -0.277
2.734 1.038 -5.291
3.650 -3.692 3.096
Ce V O
2 2 8
Direct
0.000 0.000 0.000
0.250 0.750 0.500
0.750 0.250 0.500
0.500 0.500 0.000
0.923 0.606 0.683
0.923 0.241 0.317
0.759 0.077 0.683
0.327 0.509 0.183
0.327 0.144 0.817
0.394 0.077 0.317
0.856 0.673 0.183
0.491 0.673 0.817
```

8.
Below is CeW2O8 at its PBEsol-relaxed geometry, with properties calculated at the SCAN level.

Results
**Crystal system**: monoclinic
**Space group**: C2/c, No. 15
**Total DFT energy (no corrections)**: -1.75315 Ry/atom
**Total moment**: 0.00 μB/cell
**Energy relative to the elements, uncorrected**: -2599 meV per atom

Cell and atoms, written as POSCAR:
```
CeW2O8
1.0
7.274 0.476 -0.212
3.090 6.602 -0.212
3.423 2.338 6.461
Ce W O
2 4 16
Direct
0.970 0.030 0.250
0.030 0.970 0.750
0.494 0.981 0.227
0.981 0.494 0.727
0.019 0.506 0.273
0.506 0.019 0.773
0.656 0.708 0.323
0.221 0.973 0.413
0.904 0.374 0.216
0.337 0.971 0.058
0.708 0.656 0.823
0.973 0.221 0.913
0.374 0.904 0.716
0.971 0.337 0.558
0.029 0.663 0.442
0.626 0.096 0.284
0.027 0.779 0.087
0.292 0.344 0.177
0.663 0.029 0.942
0.096 0.626 0.784
0.779 0.027 0.587
0.344 0.292 0.677
```

9.
Below is Ce2WO6 at its PBEsol-relaxed geometry, with properties calculated at the SCAN level.

Results
**Crystal system**: monoclinic
**Space group**: C2/c, No. 15
**Total DFT energy (no corrections)**: -1.83706 Ry/atom
**Total moment**: 8.01 μB/cell
**Energy relative to the elements, uncorrected**: -3194 meV per atom

Cell and atoms, written as POSCAR:
```
Ce2WO6
1.0
5.461 -0.030 -0.022
2.130 9.526 -0.053
2.130 3.082 9.014
Ce W O
8 4 24
Direct
0.250 0.621 0.379
0.750 0.379 0.621
0.250 0.119 0.881
0.750 0.881 0.119
0.110 0.062 0.291
0.890 0.938 0.709
0.390 0.709 0.938
0.610 0.291 0.062
0.419 0.179 0.502
0.581 0.821 0.498
0.081 0.498 0.821
0.919 0.502 0.179
0.415 0.849 0.318
0.585 0.151 0.682
0.085 0.682 0.151
0.915 0.318 0.849
0.104 0.181 0.628
0.896 0.819 0.372
0.396 0.372 0.819
0.604 0.628 0.181
0.364 0.219 0.307
0.636 0.781 0.693
0.136 0.693 0.781
0.864 0.307 0.219
0.282 0.964 0.530
0.718 0.036 0.470
0.218 0.470 0.036
0.782 0.530 0.964
0.466 0.374 0.461
0.534 0.626 0.539
0.034 0.539 0.626
0.966 0.461 0.374
0.923 0.078 0.101
0.077 0.922 0.899
0.577 0.899 0.922
0.423 0.101 0.078
```

10.
Below is CeW2O8 at its PBEsol-relaxed geometry, with properties calculated at the SCAN level.

Results
**Crystal system**: cubic
**Space group**: P2_13, No. 198
**Total DFT energy (no corrections)**: -1.75135 Ry/atom
**Total moment**: 0.00 μB/cell
**Energy relative to the elements, uncorrected**: -2575 meV per atom

Cell and atoms, written as POSCAR:
```
CeW2O8
1.0
9.536 0.000 0.000
0.000 9.536 0.000
0.000 0.000 9.536
Ce W O
4 8 32
Direct
0.247 0.253 0.747
0.253 0.747 0.247
0.747 0.247 0.253
0.753 0.753 0.753
0.095 0.095 0.095
0.158 0.658 0.842
0.342 0.342 0.342
0.405 0.905 0.595
0.595 0.405 0.905
0.658 0.842 0.158
0.842 0.158 0.658
0.905 0.595 0.405
0.010 0.490 0.510
0.023 0.196 0.691
0.038 0.696 0.310
0.191 0.477 0.804
0.190 0.962 0.196
0.196 0.691 0.023
0.196 0.190 0.962
0.236 0.236 0.236
0.264 0.764 0.736
0.304 0.810 0.462
0.304 0.309 0.523
0.310 0.038 0.696
0.309 0.523 0.304
0.462 0.304 0.810
0.477 0.804 0.191
0.490 0.510 0.010
0.510 0.010 0.490
0.523 0.304 0.309
0.538 0.804 0.690
0.691 0.023 0.196
0.690 0.538 0.804
0.696 0.809 0.977
0.696 0.310 0.038
0.736 0.264 0.764
0.764 0.736 0.264
0.804 0.690 0.538
0.804 0.191 0.477
0.810 0.462 0.304
0.809 0.977 0.696
0.962 0.196 0.190
0.977 0.696 0.809
0.990 0.990 0.990
```

11.
Below is Ce2Y2O7 at its PBEsol-relaxed geometry, with properties calculated at the SCAN level.

Results
**Crystal system**: orthorhombic
**Space group**: Pmma, No. 51
**Energy above the lowest structure with this stoichiometry**: 0.000 eV/atom
**Total DFT energy (no corrections)**: -1.53684 Ry/atom
**Total moment**: 0.00 μB/cell
**Energy relative to the elements, uncorrected**: -3780 meV per atom

Cell and atoms, written as POSCAR:
```
Ce2Y2O7
1.0
-3.351 0.157 -1.606
-3.262 -2.125 6.600
-0.897 10.316 2.878
Ce Y O
4 4 14
Direct
0.000 0.750 0.255
0.000 0.250 0.745
0.500 0.000 0.000
0.500 0.500 0.000
0.500 0.500 0.500
0.000 0.250 0.231
0.500 0.000 0.500
0.000 0.750 0.769
0.000 0.541 0.625
0.500 0.250 0.866
0.500 0.750 0.873
0.000 0.490 0.877
0.000 0.510 0.123
0.000 0.990 0.123
0.500 0.750 0.134
0.500 0.250 0.127
0.500 0.750 0.393
0.000 0.459 0.375
0.000 0.041 0.375
0.000 0.959 0.625
0.500 0.250 0.607
0.000 0.010 0.877
```

12.
Below is Ce2Y2O7 at its PBEsol-relaxed geometry, with properties calculated at the SCAN level.

Results
**Crystal system**: tetragonal
**Space group**: P-4m2, No. 115
**Energy above the lowest structure with this stoichiometry**: 0.032 eV/atom
**Total DFT energy (no corrections)**: -1.53453 Ry/atom
**Total moment**: 0.00 μB/cell
**Energy relative to the elements, uncorrected**: -3748 meV per atom

Cell and atoms, written as POSCAR:
```
Ce2Y2O7
1.0
3.800 0.000 0.000
0.000 3.800 0.000
0.000 0.000 10.715
Ce Y O
2 2 7
Direct
0.500 0.000 0.374
0.000 0.500 0.626
0.500 0.000 0.861
0.000 0.500 0.139
0.500 0.500 0.000
0.000 0.000 0.233
0.500 0.500 0.258
0.500 0.500 0.500
0.000 0.000 0.500
0.000 0.000 0.767
0.500 0.500 0.742
```